(A)
A plane-wave DFT calculation with PBE-GGA was carried out for Ca2ZnAsN after structural relaxation.

Geometry as CIF:
```
data_Ca2ZnAsN
_space_group_name_H-M_alt 'P 1 21/m 1'
_space_group_IT_number 11
_cell_length_a 6.750
_cell_length_b 3.867
_cell_length_c 8.059
_cell_angle_alpha 90.00
_cell_angle_beta 107.49
_cell_angle_gamma 90.00
loop_
_space_group_symop_operation_xyz
'x,y,z'
'-x,-y,-z'
'-x,y+1/2,-z'
'x,-y+1/2,z'
loop_
_atom_site_label
_atom_site_fract_x
_atom_site_fract_y
_atom_site_fract_z
_atom_site_occupancy
Ca1 0.176 0.250 0.372 1
Ca2 0.190 0.250 0.965 1
Zn1 0.466 0.750 0.250 1
As1 0.304 0.750 0.696 1
N1 0.166 0.750 0.171 1
```


(B)
A plane-wave DFT calculation with PBE-GGA was carried out for Ca2ZnAsN after structural relaxation.

Geometry as CIF:
```
data_Ca2ZnAsN
_space_group_name_H-M_alt 'P 4/m m m'
_space_group_IT_number 123
_space_group_name_Hall '-P 4 2'
_cell_length_a 4.907
_cell_length_b 4.907
_cell_length_c 3.950
_cell_angle_alpha 90.00
_cell_angle_beta 90.00
_cell_angle_gamma 90.00
loop_
_atom_site_label
_atom_site_fract_x
_atom_site_fract_y
_atom_site_fract_z
_atom_site_occupancy
Ca1 0.000 0.500 0.000 1
Zn1 0.000 0.000 0.500 1
As1 0.500 0.500 0.500 1
N1 0.000 0.000 0.000 1
```

Calculated values
D(E_F): 0.16 states/eV per atom


Q: Which of them is the most stable? A: (A).


(A)
A plane-wave DFT calculation with PBE-GGA was carried out for Na3CaAs after structural relaxation.

Geometry as CIF:
```
data_Na3CaAs
_space_group_name_H-M_alt 'P m -3 m'
_space_group_IT_number 221
_space_group_name_Hall '-P 4 2 3'
_cell_length_a 5.650
_cell_length_b 5.650
_cell_length_c 5.650
_cell_angle_alpha 90.00
_cell_angle_beta 90.00
_cell_angle_gamma 90.00
loop_
_atom_site_label
_atom_site_fract_x
_atom_site_fract_y
_atom_site_fract_z
_atom_site_occupancy
Na1 0.000 0.000 0.500 1
Ca1 0.500 0.500 0.500 1
As1 0.000 0.000 0.000 1
```

Calculated values
D(E_F): 0.03 states/eV per atom


(B)
A plane-wave DFT calculation with PBE-GGA was carried out for Na3CaAs after structural relaxation.

Geometry as CIF:
```
data_Na3CaAs
_space_group_name_H-M_alt 'P m -3 m'
_space_group_IT_number 221
_space_group_name_Hall '-P 4 2 3'
_cell_length_a 5.924
_cell_length_b 5.924
_cell_length_c 5.924
_cell_angle_alpha 90.00
_cell_angle_beta 90.00
_cell_angle_gamma 90.00
loop_
_atom_site_label
_atom_site_fract_x
_atom_site_fract_y
_atom_site_fract_z
_atom_site_occupancy
Na1 0.000 0.000 0.500 1
Ca1 0.000 0.000 0.000 1
As1 0.500 0.500 0.500 1
```

Calculated values
D(E_F): 0.02 states/eV per atom


Q: Which of them is the most stable? A: (A).